A relaxed structure of LaInRu2, computed with PBE-GGA.

Unit cell a=5.775 b=5.775 c=5.775 alpha=139.71 beta=139.71 gamma=58.29
Site moments in Bohr magnetons follow the coordinates.
Fractional positions:
1 La 0.750 0.250 0.500  0.01
2 Ru 0.250 0.750 0.500  0.42
3 Ru 0.000 0.000 0.000  1.08
4 In 0.500 0.500 0.000  0.00

Properties
Energy relative to the elements   0.5 eV/f.u.
Symmetry   I-4m2 (119)